Here is crystalline CuWO2F at its relaxed geometry from Alexandria. Energies are from PBE+U.

Computed properties:
Magnetic moment   1.9 Bohr magnetons per cell
E_tot   -5.8214 eV/atom
Density of states at the Fermi level   0.2593 states/eV/atom
Theoretical density   7.31 g cm⁻³

abc: 4.023 4.023 4.185
angles: 90.00 90.00 90.00
Space group P4/mmm (No. 123)
Inequivalent atoms, fractional coordinates:
Cu1 0.000 0.000 0.000
W1 0.500 0.500 0.500
O1 0.000 0.500 0.500
F1 0.500 0.500 0.000